# 1
Computed, not measured: a geometry-optimized ErIO structure at the PBE level of DFT.

Properties
Raw formation energy in kcal/mol of atoms: -56.17
Fermi-level density of states in states/eV/f.u.: 0.00
Calculated density in g cm⁻³: 7.0
Energy in eV per atom: -6.13

Geometry as POSCAR:
```
ErIO
1.0
3.750 0.000 0.000
-1.875 3.248 0.000
0.000 0.000 6.046
I O Er
1 1 1
Cartesian
0.000 0.000 0.348
0.000 2.165 3.094
1.875 1.083 2.605
```


# 2
Computed, not measured: a geometry-optimized Er2I2O structure at the PBE level of DFT.

Properties
Raw formation energy in kcal/mol of atoms: -44.54
Fermi-level density of states in states/eV/f.u.: 2.06
Calculated density in g cm⁻³: 6.5
Energy in eV per atom: -5.37

Geometry as POSCAR:
```
Er2I2O
1.0
3.869 0.000 -0.764
-0.142 6.907 -0.721
0.268 0.188 11.540
Er I O
4 4 2
Cartesian
0.707 6.147 3.583
3.287 0.948 6.472
1.284 4.119 6.506
2.711 2.977 3.550
0.414 1.412 2.097
3.581 5.684 7.958
1.757 2.192 8.902
2.238 4.903 1.154
0.856 4.063 4.337
3.139 3.033 5.718
```


# 3
Computed, not measured: a geometry-optimized Er3I7O structure at the PBE level of DFT.

Properties
Raw formation energy in kcal/mol of atoms: -38.99
Fermi-level density of states in states/eV/f.u.: 0.00
Calculated density in g cm⁻³: 5.0
Energy in eV per atom: -4.37

Geometry as POSCAR:
```
Er3I7O
1.0
-2.323 6.809 -2.988
-3.488 -3.990 -6.380
-4.411 1.506 6.860
Er I O
3 7 1
Cartesian
-5.737 4.052 -1.768
-7.675 4.714 1.248
-4.203 5.806 1.036
-4.280 0.670 4.685
-2.019 -0.103 1.168
-6.083 4.546 -4.909
-4.904 0.627 -5.800
-3.159 2.624 -2.607
-7.112 1.380 -2.366
-6.068 -1.376 1.414
-5.708 4.378 0.382
```